<A>
Crystalline ScCrSb2 at its relaxed geometry. Source: Alexandria via LeMat-Bulk, functional GGA-PBEsol.

Summary:
**SG**: P4/mmm, No. 123

abc: 3.771 4.706 4.706
angles: 90.00 90.00 90.00
Each line ends with the local moment (μB).
Atoms (fractional coordinates):
Sc  0.500  0.500  0.500  0.13
Sb  0.000  0.500  0.000  -0.04
Cr  0.500  0.000  0.000  3.55
Sb  0.000  0.000  0.500  -0.04

<B>
Crystalline ScCrSb2 at its relaxed geometry. Source: Alexandria via LeMat-Bulk, functional GGA-PBEsol.

Summary:
**SG**: P4/mmm, No. 123

abc: 3.229 3.229 7.238
angles: 90.00 90.00 90.00
Each line ends with the local moment (μB).
Atoms (fractional coordinates):
Sc  0.500  0.500  0.000  0.02
Sb  0.000  0.000  0.284  -0.04
Cr  0.500  0.500  0.500  0.71
Sb  0.000  0.000  0.716  -0.04

Stability summary: most stable <A>, least stable <B>.